A relaxed Li7CuSi2 crystal. Source: OQMD, functional PBE.

The value obtained for the volume is 14.3 Å³ per atom. The total energy comes out at -121.0 eV/cell.

Lattice parameters (Å, degrees): 7.7961 4.3262 16.9044 90.00 90.00 90.00
Space group Pnma (No. 62)
One atom of each set of equivalent atoms:
Li (0.0234, 0.2500, 0.1207) x4
Li (0.0294, 0.7500, 0.3187) x4
Li (0.0542, 0.7500, 0.4680) x4
Li (0.1101, 0.2500, 0.9583) x4
Li (0.1379, 0.7500, 0.6212) x4
Li (0.1459, 0.2500, 0.8113) x4
Li (0.1915, 0.2500, 0.2564) x4
Cu (0.2242, 0.7500, 0.0371) x4
Si (0.1881, 0.7500, 0.1716) x4
Si (0.1959, 0.2500, 0.4057) x4